Computed, not measured: a relaxed HgB3P crystal at the GGA-PBE level of DFT.

The structure in POSCAR format:
```
HgB3P
1.0
-0.942 0.517 -3.844
-3.716 -1.254 0.742
-1.111 3.754 0.777
B Hg P
3 1 1
Direct
0.500 0.000 0.000
0.000 0.000 0.500
0.000 0.500 0.000
0.500 0.500 0.500
0.000 0.000 0.000
```

Values from the calculation:
Density   6.9 g cm⁻³
Energy of formation   1476 meV per atom
Distance to the lowest polymorph of the same formula   0.0 meV/atom

---

Computed, not measured: a relaxed SmHo2Hg2 crystal at the GGA-PBE level of DFT.

The structure in POSCAR format:
```
SmHo2Hg2
1.0
-3.015 -3.815 -1.778
2.032 -0.307 4.753
-5.133 2.945 2.384
Ho Hg Sm
2 2 1
Direct
0.667 0.333 0.341
0.333 0.667 0.659
0.333 0.667 0.182
0.667 0.333 0.818
0.000 0.000 0.000
```

Values from the calculation:
Density   9.9 g cm⁻³
Energy of formation   -230 meV per atom
Distance to the lowest polymorph of the same formula   153.9 meV/atom

---

Question: Among the records above, which one has the lowest energy of formation?
Answer: SmHo2Hg2